1.
# Pr2TmAu2 (PBE, optimized geometry)
data_Pr2TmAu2
_chemical_formula_sum 'Pr4 Tm2 Au4'
_symmetry_space_group_name_H-M 'P 4/m b m'
_symmetry_Int_Tables_number 127
_symmetry_space_group_name_Hall '-P 4 2ab'
_cell_length_a 7.5320
_cell_length_b 7.5320
_cell_length_c 4.8562
_cell_angle_alpha 90.00
_cell_angle_beta 90.00
_cell_angle_gamma 90.00
loop_
_atom_site_label
_atom_site_type_symbol
_atom_site_fract_x
_atom_site_fract_y
_atom_site_fract_z
Pr1 Pr 0.1642 0.3358 0.0000
Tm1 Tm 0.0000 0.0000 0.5000
Au1 Au 0.1374 0.6374 0.5000
# ΔE to the lowest computed polymorph = 0.0000 eV per atom
# V = 275.5 Å³/cell
# Formation enthalpy at 0 K = -0.64 eV/atom

2.
# PrTmAu (PBE, optimized geometry)
data_PrTmAu
_chemical_formula_sum 'Pr4 Tm4 Au4'
_symmetry_space_group_name_H-M 'P 1'
_symmetry_Int_Tables_number 1
_symmetry_space_group_name_Hall 'P 1'
_cell_length_a 6.7098
_cell_length_b 7.2636
_cell_length_c 7.5145
_cell_angle_alpha 89.75
_cell_angle_beta 79.66
_cell_angle_gamma 75.28
loop_
_atom_site_label
_atom_site_type_symbol
_atom_site_fract_x
_atom_site_fract_y
_atom_site_fract_z
Pr1 Pr 0.0000 0.0000 0.0000
Pr2 Pr 0.0369 0.1245 0.5252
Pr3 Pr 0.5799 0.4226 0.3264
Pr4 Pr 0.6232 0.9123 0.4280
Tm1 Tm 0.0146 0.6070 0.6003
Tm2 Tm 0.0611 0.5106 0.1255
Tm3 Tm 0.4676 0.2887 0.7909
Tm4 Tm 0.5633 0.7829 0.9637
Au1 Au 0.2293 0.7778 0.2871
Au2 Au 0.3534 0.7097 0.6935
Au3 Au 0.3601 0.1478 0.1552
Au4 Au 0.8297 0.3970 0.8750
# ΔE to the lowest computed polymorph = 0.1157 eV per atom
# V = 348.1 Å³/cell
# Formation enthalpy at 0 K = -0.49 eV/atom

Please write out number 1 again, unchanged.
# Pr2TmAu2 (PBE, optimized geometry)
data_Pr2TmAu2
_chemical_formula_sum 'Pr4 Tm2 Au4'
_symmetry_space_group_name_H-M 'P 4/m b m'
_symmetry_Int_Tables_number 127
_symmetry_space_group_name_Hall '-P 4 2ab'
_cell_length_a 7.5320
_cell_length_b 7.5320
_cell_length_c 4.8562
_cell_angle_alpha 90.00
_cell_angle_beta 90.00
_cell_angle_gamma 90.00
loop_
_atom_site_label
_atom_site_type_symbol
_atom_site_fract_x
_atom_site_fract_y
_atom_site_fract_z
Pr1 Pr 0.1642 0.3358 0.0000
Tm1 Tm 0.0000 0.0000 0.5000
Au1 Au 0.1374 0.6374 0.5000
# ΔE to the lowest computed polymorph = 0.0000 eV per atom
# V = 275.5 Å³/cell
# Formation enthalpy at 0 K = -0.64 eV/atom

> Among the records above, which one has the lowest formation enthalpy at 0 K?

Pr2TmAu2

> The highest V belongs to which entry?

PrTmAu

Please write out number 1 again, unchanged.
# Pr2TmAu2 (PBE, optimized geometry)
data_Pr2TmAu2
_chemical_formula_sum 'Pr4 Tm2 Au4'
_symmetry_space_group_name_H-M 'P 4/m b m'
_symmetry_Int_Tables_number 127
_symmetry_space_group_name_Hall '-P 4 2ab'
_cell_length_a 7.5320
_cell_length_b 7.5320
_cell_length_c 4.8562
_cell_angle_alpha 90.00
_cell_angle_beta 90.00
_cell_angle_gamma 90.00
loop_
_atom_site_label
_atom_site_type_symbol
_atom_site_fract_x
_atom_site_fract_y
_atom_site_fract_z
Pr1 Pr 0.1642 0.3358 0.0000
Tm1 Tm 0.0000 0.0000 0.5000
Au1 Au 0.1374 0.6374 0.5000
# ΔE to the lowest computed polymorph = 0.0000 eV per atom
# V = 275.5 Å³/cell
# Formation enthalpy at 0 K = -0.64 eV/atom